1.
Density functional theory data (PBE) for an optimized crystal structure of Pm2SnPb.

Cell: 5.1378 5.1378 6.1510 Å, 65.31 65.31 60.00°
Closest atoms and distances in Å follow each position.
Atoms (fractional coordinates):
Pm: 0.2476 0.2476 0.2573  3 Sn 3.24, 3 Pb 3.27
Pm: 0.7524 0.7524 0.7427  3 Sn 3.24, 3 Pb 3.27
Pb: 0.0000 0.0000 0.0000  6 Pm 3.27
Sn: 0.5000 0.5000 0.5000  6 Pm 3.24

Computed properties:
Calculated volume   30.80 Å³ per atom
Formation energy   -2.3 eV/f.u.
M_tot   0.00 μB per formula unit
Space group   R-3m, No. 166

2.
Density functional theory data (PBE) for an optimized crystal structure of Np2ZnGe.

Cell: 3.9161 3.9161 5.4353 Å, 90.00 90.00 90.00°
Closest atoms and distances in Å follow each position.
Atoms (fractional coordinates):
Np: 0.0000 0.0000 0.7537  2 Np 2.68-2.76
Np: 0.0000 0.0000 0.2463  2 Np 2.68-2.76
Ge: 0.5000 0.5000 0.0000  2 Zn 2.72
Zn: 0.5000 0.5000 0.5000  2 Ge 2.72

Computed properties:
Calculated volume   20.84 Å³ per atom
Formation energy   0.0 eV/f.u.
M_tot   8.25 μB per formula unit
Space group   P4/mmm, No. 123